Computed, not measured: a relaxed structure of Tl2In2Pt at the PBE-GGA level of DFT.

abc: 7.210 7.210 5.255
angles: 90.00 90.00 90.00
Atoms (fractional coordinates):
Tl: 0.154 0.346 0.000
Tl: 0.346 0.846 0.000
Tl: 0.654 0.154 0.000
Tl: 0.846 0.654 0.000
In: 0.169 0.669 0.500
In: 0.331 0.169 0.500
In: 0.669 0.831 0.500
In: 0.831 0.331 0.500
Pt: 0.000 0.000 0.000
Pt: 0.500 0.500 0.000

Values from the calculation:
excess energy over the best structure of this formula in the dataset: 0.1806 eV per atom
E_form: 140.0 meV/atom
total DFT energy (no corrections): -31.1 eV for the cell shown
space-group type: P4/mbm, No. 127